{
  "formula": "SrAu2Se",
  "functional": "GGA-PBEsol",
  "state": "optimized geometry",
  "lattice_angstrom": [[4.060, 0.000, 0.031], [0.000, 4.287, 0.000], [-0.051, 0.000, 5.789]],
  "species": ["Au", "Au", "Se", "Sr"],
  "fractional_positions": [[0.750, 0.000, 0.978], [0.750, 0.500, 0.253], [0.749, 0.000, 0.533], [0.250, 0.500, 0.737]],
  "dos_ef_per_ev_cell": 1.11,
  "final_energy_ry_per_atom": -0.2959,
  "total_magnetization_mub_per_cell": 0.0,
  "space_group": "No. 6",
  "raw_formation_energy_ev_per_atom": -0.6415
}

{
  "formula": "TcAu2Se",
  "functional": "GGA-PBEsol",
  "state": "optimized geometry",
  "lattice_angstrom": [[3.058, 0.000, 0.000], [-1.529, 4.110, -0.011], [0.000, -0.840, 5.419]],
  "species": ["Au", "Au", "Se", "Tc"],
  "fractional_positions": [[0.010, 0.020, 0.008], [0.260, 0.520, 0.753], [0.477, 0.955, 0.446], [0.753, 0.506, 0.293]],
  "dos_ef_per_ev_cell": 3.24,
  "final_energy_ry_per_atom": -0.4005,
  "total_magnetization_mub_per_cell": 0.0,
  "space_group": "No. 8",
  "raw_formation_energy_ev_per_atom": 0.2918
}

{
  "formula": "TcAu2Se",
  "functional": "GGA-PBEsol",
  "state": "optimized geometry",
  "lattice_angstrom": [[-1.803, 2.079, -0.234], [-3.260, -2.694, 1.190], [1.730, 0.271, 5.355]],
  "species": ["Au", "Au", "Se", "Tc"],
  "fractional_positions": [[0.060, 0.000, 0.995], [0.685, 0.500, 0.245], [0.329, 0.000, 0.532], [0.427, 0.500, 0.729]],
  "dos_ef_per_ev_cell": 2.60,
  "final_energy_ry_per_atom": -0.3972,
  "total_magnetization_mub_per_cell": 0.0,
  "space_group": "No. 38",
  "raw_formation_energy_ev_per_atom": 0.3372
}

{
  "formula": "Tc2AuSe",
  "functional": "GGA-PBEsol",
  "state": "optimized geometry",
  "lattice_angstrom": [[-0.998, -3.736, -0.963], [1.309, 0.608, -3.715], [3.354, 0.359, 3.378]],
  "species": ["Au", "Se", "Tc", "Tc"],
  "fractional_positions": [[0.500, 0.500, 0.000], [0.750, 0.250, 0.500], [0.000, 0.000, 0.000], [0.250, 0.750, 0.500]],
  "dos_ef_per_ev_cell": 3.79,
  "final_energy_ry_per_atom": -0.5163,
  "total_magnetization_mub_per_cell": 0.0,
  "space_group": "No. 119",
  "raw_formation_energy_ev_per_atom": 0.5524
}

{
  "formula": "TcAu2Se",
  "functional": "GGA-PBEsol",
  "state": "optimized geometry",
  "lattice_angstrom": [[-1.825, 1.965, -0.220], [-0.831, -1.333, -5.026], [-2.967, -2.345, 3.664]],
  "species": ["Au", "Au", "Se", "Tc"],
  "fractional_positions": [[0.000, 0.500, 0.000], [0.000, 0.000, 0.500], [0.500, 0.000, 0.000], [0.500, 0.500, 0.500]],
  "dos_ef_per_ev_cell": 3.31,
  "final_energy_ry_per_atom": -0.3860,
  "total_magnetization_mub_per_cell": 0.0,
  "space_group": "No. 65",
  "raw_formation_energy_ev_per_atom": 0.4890
}

{
  "formula": "TcAuSe",
  "functional": "GGA-PBEsol",
  "state": "optimized geometry",
  "lattice_angstrom": [[4.199, 0.000, 0.000], [2.099, 3.636, 0.000], [2.099, 1.212, 3.428]],
  "species": ["Au", "Se", "Tc"],
  "fractional_positions": [[0.500, 0.500, 0.500], [0.250, 0.250, 0.250], [0.000, 0.000, 0.000]],
  "dos_ef_per_ev_cell": 1.80,
  "final_energy_ry_per_atom": -0.4203,
  "total_magnetization_mub_per_cell": 0.0,
  "space_group": "No. 216",
  "raw_formation_energy_ev_per_atom": 0.6288
}